[1]
The following is a DFT calculation (PBE-GGA) of an optimized crystal structure of KCd4Mo.

Cell: 5.9260 5.9260 5.9260 Å, 60.00 60.00 60.00°
Positions (direct):
Cd 0.8772 0.3743 0.3743
Cd 0.3743 0.3743 0.3743
K 0.7500 0.7500 0.7500
Cd 0.3743 0.3743 0.8772
Mo 0.0000 0.0000 0.0000
Cd 0.3743 0.8772 0.3743

The calculation puts the total energy at -12.477 eV/cell. For the total moment, the calculation gives 4.4 μB per formula unit. Its crystal system is cubic. Its formation energy is 0.52 eV per atom.

[2]
The following is a DFT calculation (PBE-GGA) of an optimized crystal structure of KCd2Mo.

Cell: 11.2533 11.2533 11.2533 Å, 15.52 15.52 15.52°
Positions (direct):
Cd 0.4895 0.4895 0.4895
K 0.2500 0.2500 0.2500
Mo 0.7500 0.7500 0.7500
Cd 0.0105 0.0105 0.0105

The calculation puts the total energy at -11.449 eV/cell. For the total moment, the calculation gives 0.0 μB per formula unit. Its crystal system is trigonal. Its formation energy is 0.58 eV per atom.

[3]
The following is a DFT calculation (PBE-GGA) of an optimized crystal structure of KCd2Mo.

Cell: 5.6073 5.6073 10.6377 Å, 74.72 74.72 90.00°
Positions (direct):
K 0.5000 0.5000 0.0000
K 0.2500 0.7500 0.5000
Mo 0.7500 0.2500 0.5000
Mo 0.0000 0.0000 0.0000
Cd 0.8728 0.1250 0.2500
Cd 0.8750 0.1228 0.7500
Cd 0.8772 0.6250 0.2500
Cd 0.3750 0.1272 0.7500

The calculation puts the total energy at -19.702 eV/cell. For the total moment, the calculation gives 3.8 μB per formula unit. Its crystal system is tetragonal. Its formation energy is 0.98 eV per atom.